# PBE DyTlPb2, relaxed
data_DyTlPb2
_space_group_name_H-M_alt 'P 1'
_space_group_IT_number 1
_space_group_name_Hall 'P 1'
_cell_length_a 4.930
_cell_length_b 4.801
_cell_length_c 4.801
_cell_angle_alpha 90.00
_cell_angle_beta 90.00
_cell_angle_gamma 90.00
loop_
_atom_site_label
_atom_site_type_symbol
_atom_site_fract_x
_atom_site_fract_y
_atom_site_fract_z
Pb1 Pb 0.000 0.500 0.000
Pb2 Pb 0.000 0.000 0.500
Tl1 Tl 0.500 0.000 0.000
Dy1 Dy 0.500 0.500 0.500
# Final energy in eV/atom: -3.8660
# ΔE_f in meV per atom: -270
# Total moment in μB per atom: 0.00
# Density of states at the Fermi level in states/eV/f.u.: 2.40



# PBE Rb4Ce3BeO8, relaxed
data_Rb4Ce3BeO8
_space_group_name_H-M_alt 'P 1'
_space_group_IT_number 1
_space_group_name_Hall 'P 1'
_cell_length_a 7.735
_cell_length_b 9.997
_cell_length_c 7.046
_cell_angle_alpha 128.90
_cell_angle_beta 123.29
_cell_angle_gamma 90.00
loop_
_atom_site_label
_atom_site_type_symbol
_atom_site_fract_x
_atom_site_fract_y
_atom_site_fract_z
O1 O 0.526 0.699 0.459
O2 O 0.068 0.301 0.541
Be1 Be 0.000 0.500 0.000
Ce1 Ce 0.500 0.500 0.000
Ce2 Ce 0.000 0.500 0.500
Rb1 Rb 0.500 0.000 0.500
Ce3 Ce 0.500 0.500 0.500
Rb2 Rb 0.500 0.000 0.000
Rb3 Rb 0.000 0.000 0.000
O3 O 0.961 0.616 0.923
O4 O 0.553 0.320 0.106
O5 O 0.039 0.384 0.077
O6 O 0.447 0.680 0.894
Rb4 Rb 0.000 0.000 0.500
O7 O 0.474 0.301 0.541
O8 O 0.932 0.699 0.459
# Final energy in eV/atom: -6.4107
# Total moment in μB per atom: 0.13
# Raw formation energy in meV/atom: -2344.2
# Density of states at the Fermi level in states/eV/f.u.: 10.64



# PBE YMnAl2, relaxed
data_YMnAl2
_space_group_name_H-M_alt 'P 1'
_space_group_IT_number 1
_space_group_name_Hall 'P 1'
_cell_length_a 9.310
_cell_length_b 9.310
_cell_length_c 9.310
_cell_angle_alpha 19.56
_cell_angle_beta 19.56
_cell_angle_gamma 19.56
loop_
_atom_site_label
_atom_site_type_symbol
_atom_site_fract_x
_atom_site_fract_y
_atom_site_fract_z
Mn1 Mn 0.250 0.250 0.250
Al1 Al 0.988 0.988 0.988
Al2 Al 0.512 0.512 0.512
Y1 Y 0.750 0.750 0.750
# Final energy in eV/atom: -5.6811
# ΔE_f in meV per atom: 99
# Total moment in μB per atom: 0.80
# Density of states at the Fermi level in states/eV/f.u.: 3.55